Here is RbZrAlC2 after structural relaxation from the Alexandria database. Energies are from PBE-GGA.

## Properties
DFT formation energy   1395 meV/atom
Total magnetic moment   0.00 μB/f.u.
DOS(E_F)   2.506 states/eV per cell

abc: 4.5474 4.5474 5.4055
angles: 90.00 90.00 90.00
Space group P4/mmm (No. 123)
Inequivalent atoms, fractional coordinates:
Rb  0.0000  0.0000  0.0000 [1 per cell]
Zr  0.5000  0.5000  0.5000 [1 per cell]
Al  0.5000  0.5000  0.0000 [1 per cell]
C  0.0000  0.5000  0.5000 [2 per cell]